[1]
VASP calculation (PBE) on a geometry-optimized PmAgAs4 structure.

Lattice parameters (Å, degrees): 8.0219 8.0219 8.0219 90.00 90.00 90.00
Last column: nearest neighbours and their distance in Å.
Space group F-43m (No. 216)
Unique sites:
Pm (0.0000, 0.0000, 0.0000) (multiplicity 4)  12 As 3.33, 4 Ag 3.47
Ag (0.2500, 0.2500, 0.2500) (multiplicity 4)  12 As 3.32, 4 Pm 3.47
As (0.1215, 0.1215, 0.6215) (multiplicity 16)  6 As 2.76-2.92

Output
The density of states at the Fermi level comes out at 16.0 states/eV/cell. As for the energy relative to the elements: -11 kJ per mole of atoms.



[2]
VASP calculation (PBE) on a geometry-optimized PmAgAs2 structure.

Lattice parameters (Å, degrees): 7.0411 7.0411 7.0411 90.00 90.00 90.00
Last column: nearest neighbours and their distance in Å.
Space group Fm-3m (No. 225)
Unique sites:
Pm (0.0000, 0.0000, 0.0000) (multiplicity 4)  8 As 3.05
Ag (0.0000, 0.0000, 0.5000) (multiplicity 4)  8 As 3.05
As (0.2500, 0.2500, 0.2500) (multiplicity 8)  4 Pm 3.05, 4 Ag 3.05

Output
The energy relative to the lowest polymorph listed for this composition comes out at 347 meV per atom. The density of states at the Fermi level comes out at 20.6 states/eV/cell. As for the energy relative to the elements: -41 kJ per mole of atoms.



[3]
VASP calculation (PBE) on a geometry-optimized PmAgAs2 structure.

Lattice parameters (Å, degrees): 4.6457 4.6457 3.9854 90.00 90.00 90.00
Last column: nearest neighbours and their distance in Å.
Space group P4/mmm (No. 123)
Unique sites:
Pm (0.0000, 0.0000, 0.0000) (multiplicity 1)  8 As 3.06, 4 Ag 3.28
Ag (0.5000, 0.5000, 0.0000) (multiplicity 1)  8 As 3.06, 4 Pm 3.28
As (0.0000, 0.5000, 0.5000) (multiplicity 2)  4 Pm 3.06, 4 Ag 3.06, 4 As 3.28

Output
The energy relative to the lowest polymorph listed for this composition comes out at 202 meV per atom. The density of states at the Fermi level comes out at 2.2 states/eV/cell. As for the energy relative to the elements: -55 kJ per mole of atoms.



[4]
VASP calculation (PBE) on a geometry-optimized PmAg4As structure.

Lattice parameters (Å, degrees): 7.9345 7.9345 7.9345 90.00 90.00 90.00
Last column: nearest neighbours and their distance in Å.
Space group F-43m (No. 216)
Unique sites:
Pm (0.0000, 0.0000, 0.0000) (multiplicity 4)  12 Ag 3.29, 4 As 3.44
Ag (0.1248, 0.1248, 0.6248) (multiplicity 16)  6 Ag 2.80-2.81
As (0.2500, 0.2500, 0.2500) (multiplicity 4)  12 Ag 3.29, 4 Pm 3.44

Output
The density of states at the Fermi level comes out at 8.8 states/eV/cell. As for the energy relative to the elements: -15 kJ per mole of atoms.